A plane-wave DFT calculation with PBE was carried out for a relaxed NaAcBeO3 crystal.

Computed properties:
- Magnetization: 0.00 μB per formula unit
- D(E_F): 0.0 states/eV/f.u.
- Energy relative to the elements, uncorrected: -14.5 eV per formula unit
- Electronic total energy: -38.55 eV per formula unit

a = 5.153 Å, b = 5.153 Å, c = 10.048 Å
α = 90.00°, β = 90.00°, γ = 138.48°
Positions (direct):
Na1 0.233 0.767 0.750
Na2 0.767 0.233 0.250
Ac1 0.500 0.500 0.000
Ac2 0.500 0.500 0.500
Be1 0.066 0.934 0.250
Be2 0.934 0.066 0.750
O1 0.134 0.866 0.111
O2 0.134 0.866 0.389
O3 0.458 0.542 0.250
O4 0.542 0.458 0.750
O5 0.866 0.134 0.611
O6 0.866 0.134 0.889

=====

A plane-wave DFT calculation with PBE was carried out for a relaxed NaAcBe2O4 crystal.

Computed properties:
- Magnetization: 0.00 μB per formula unit
- D(E_F): 0.0 states/eV/f.u.
- Energy relative to the elements, uncorrected: -19.2 eV per formula unit
- Electronic total energy: -51.94 eV per formula unit

a = 5.175 Å, b = 5.175 Å, c = 5.175 Å
α = 113.64°, β = 112.02°, γ = 102.95°
Positions (direct):
Na1 0.000 0.000 0.000
Ac1 0.500 0.500 0.000
Be1 0.240 0.740 0.500
Be2 0.760 0.260 0.500
O1 0.067 0.925 0.514
O2 0.411 0.552 0.486
O3 0.589 0.075 0.142
O4 0.933 0.448 0.858

=====

A plane-wave DFT calculation with PBE was carried out for a relaxed NaAc2BeO5 crystal.

Computed properties:
- Magnetization: 1.07 μB per formula unit
- D(E_F): 6.1 states/eV/f.u.
- Energy relative to the elements, uncorrected: -23.3 eV per formula unit
- Electronic total energy: -61.39 eV per formula unit

a = 7.170 Å, b = 7.170 Å, c = 7.170 Å
α = 118.81°, β = 118.81°, γ = 92.08°
Positions (direct):
Na1 0.250 0.250 0.000
Na2 0.750 0.750 0.000
Ac1 0.183 0.683 0.866
Ac2 0.317 0.183 0.500
Ac3 0.683 0.817 0.500
Ac4 0.817 0.317 0.134
Be1 0.250 0.750 0.500
Be2 0.750 0.250 0.500
O1 0.000 0.000 0.000
O2 0.024 0.772 0.500
O3 0.228 0.728 0.251
O4 0.272 0.524 0.500
O5 0.476 0.976 0.749
O6 0.500 0.500 0.000
O7 0.524 0.024 0.251
O8 0.728 0.476 0.500
O9 0.772 0.272 0.749
O10 0.976 0.228 0.500